[1]
Density functional theory data (PBE) for a geometry-optimized Y2LuSb structure.

Results
The energy relative to the elements, uncorrected is -0.501 eV per atom. Its distance to the lowest polymorph of the same formula is 0.000 eV/atom.

Lattice parameters (Å, degrees): 4.1216 4.1216 6.6801 90.00 90.00 90.00
Last column: nearest neighbours and their distance in Å.
Fractional coordinates of all 4 atoms:
Y (0.0000, 0.0000, 0.7622)  2 Y 3.18-3.50, 4 Sb 3.32, 4 Lu 3.40
Y (0.0000, 0.0000, 0.2378)  2 Y 3.18-3.50, 4 Sb 3.32, 4 Lu 3.40
Sb (0.5000, 0.5000, 0.0000)  8 Y 3.32, 2 Lu 3.34
Lu (0.5000, 0.5000, 0.5000)  2 Sb 3.34, 8 Y 3.40

[2]
Density functional theory data (PBE) for a geometry-optimized LuZn2Sb structure.

Results
The energy relative to the elements, uncorrected is -0.364 eV per atom.

Lattice parameters (Å, degrees): 4.4733 4.2990 4.2990 90.00 90.00 90.00
Last column: nearest neighbours and their distance in Å.
Fractional coordinates of all 4 atoms:
Sb (0.5000, 0.5000, 0.5000)  4 Lu 3.04, 8 Zn 3.10
Zn (0.0000, 0.0000, 0.5000)  4 Zn 3.04, 4 Sb 3.10, 4 Lu 3.10
Zn (0.0000, 0.5000, 0.0000)  4 Zn 3.04, 4 Sb 3.10, 4 Lu 3.10
Lu (0.5000, 0.0000, 0.0000)  4 Sb 3.04, 8 Zn 3.10

[3]
Density functional theory data (PBE) for a geometry-optimized LuZnSb structure.

Results
The energy relative to the elements, uncorrected is -0.461 eV per atom.

Lattice parameters (Å, degrees): 4.3148 4.3304 4.3304 120.00 90.00 90.00
Last column: nearest neighbours and their distance in Å.
Fractional coordinates of all 3 atoms:
Sb (0.7298, 0.6667, 0.3333)  3 Zn 2.72
Zn (0.9778, 0.0000, 0.0000)  3 Sb 2.72, 3 Lu 2.84
Lu (0.2924, 0.3333, 0.6667)  3 Zn 2.84, 3 Sb 3.13

Which formula does entry 3 have? LuZnSb

What is the formula in the third record? LuZnSb

What is the energy relative to the elements, uncorrected in the second record? -0.364 eV per atom

Which value of energy relative to the elements, uncorrected does entry 3 give? -0.461 eV per atom